The following is a GGA-PBE calculation of a relaxed PmGa5Pd crystal, from Alexandria via LeMat-Bulk.

The space group is P4/mmm (No. 123) and the conventional cell measures 4.433, 4.433 and 6.932 Å, with angles of 90.00, 90.00 and 90.00 degrees. Symmetry generates all atoms from Pm at (0.000, 0.000, 0.000), Ga at (0.000, 0.500, 0.300), Ga at (0.500, 0.500, 0.000) and Pd at (0.000, 0.000, 0.500).

The energy of formation from the pure elements comes out at -0.520 eV per atom. For the calculated volume, the calculation gives 136.2 Å³/f.u.

The following is a GGA-PBE calculation of a relaxed TaZnTc2Os crystal, from Alexandria via LeMat-Bulk.

The space group is P4/mmm (No. 123) and the conventional cell measures 4.394, 4.394 and 4.557 Å, with angles of 90.00, 90.00 and 90.00 degrees. Symmetry generates all atoms from Ta at (0.000, 0.000, 0.000), Zn at (0.000, 0.000, 0.500), Tc at (0.000, 0.500, 0.500) and Os at (0.500, 0.500, 0.000).

The energy of formation from the pure elements comes out at 1.703 eV per atom. For the calculated volume, the calculation gives 88.0 Å³/f.u.